# Ba2TaRe

A relaxed structure of Ba2TaRe (PBEsol, Alexandria).

```
4
Lattice="2.966 0.000 0.000 0.000 5.637 0.000 0.000 0.000 5.913" Properties=species:S:1:pos:R:3 pbc="T T T"
Re 1.483 2.818 0.000
Ba 0.000 0.000 4.446
Ba 0.000 0.000 1.467
Ta 1.483 2.818 2.956
```

Values from the calculation:
total moment	0.00	μB per cell
E_form	1.43	eV per atom
energy above the lowest structure with this stoichiometry	72	meV per atom
E	-24.5	eV/cell

# Ba2TaRe

A relaxed structure of Ba2TaRe (PBEsol, Alexandria).

```
4
Lattice="4.177 0.000 0.000 0.000 4.177 0.000 -2.088 -2.088 5.656" Properties=species:S:1:pos:R:3 pbc="T T T"
Re 2.088 2.088 0.000
Ba 2.088 0.000 2.828
Ba 0.000 2.088 2.828
Ta 0.000 0.000 0.000
```

Values from the calculation:
total moment	0.00	μB per cell
E_form	1.36	eV per atom
energy above the lowest structure with this stoichiometry	0	meV per atom
E	-24.8	eV/cell

# Ba4TaRe

A relaxed structure of Ba4TaRe (PBEsol, Alexandria).

```
6
Lattice="-2.557 -4.251 -4.298 -3.693 -4.993 2.124 -6.463 -0.021 -1.146" Properties=species:S:1:pos:R:3 pbc="T T T"
Ba -4.770 -3.476 -1.246
Ba -7.996 -3.487 -1.818
Ba -6.046 -5.599 -3.392
Ba -6.613 -5.969 -0.186
Re -9.535 -6.949 -2.490
Ta 0.000 0.000 0.000
```

Values from the calculation:
total moment	1.08	μB per cell
E_form	1.93	eV per atom
E	-22.9	eV/cell